This record from Alexandria describes a relaxed structure of Sm5GaTe4. The functional is PBE.

a = 6.2404 Å, b = 7.6641 Å, c = 7.6641 Å
α = 80.46°, β = 65.98°, γ = 65.98°
Closest atoms and distances in Å follow each position.
Element x y z (fractional)
Sm: 0.5014 0.0000 0.0000  2 Ga 3.12, 4 Te 3.15
Sm: 0.0969 0.6227 0.1855  1 Ga 2.94, 5 Te 3.13-3.25
Sm: 0.7196 0.1855 0.3773  1 Ga 2.94, 5 Te 3.13-3.25
Sm: 0.9051 0.3773 0.8145  1 Ga 2.94, 5 Te 3.13-3.25
Sm: 0.2823 0.8145 0.6227  1 Ga 2.94, 5 Te 3.13-3.25
Te: 0.1973 0.2101 0.3973  6 Sm 3.13-3.25
Te: 0.8046 0.7899 0.6027  6 Sm 3.13-3.25
Te: 0.5945 0.6027 0.2101  6 Sm 3.13-3.25
Te: 0.4073 0.3973 0.7899  6 Sm 3.13-3.25
Ga: 0.0013 0.0000 0.0000  6 Sm 2.94-3.12

Total magnetic moment (μB/f.u.): 0.00
Formation energy without anion corrections (eV per atom): -1.276
DOS at the Fermi energy (states/eV/atom): 0.373